(1)
Here is Ir2ClF after structural relaxation from Alexandria. Energies are from PBE.

Structure (CIF):
```
data_Ir2ClF
_chemical_formula_sum 'Ir4 Cl2 F2'
_cell_length_a 6.465
_cell_length_b 6.465
_cell_length_c 5.367
_cell_angle_alpha 52.96
_cell_angle_beta 52.96
_cell_angle_gamma 90.00
_space_group_name_H-M_alt 'P 1'
_space_group_IT_number 1
_space_group_name_Hall 'P 1'
loop_
_atom_site_label
_atom_site_type_symbol
_atom_site_fract_x
_atom_site_fract_y
_atom_site_fract_z
_atom_site_occupancy
Ir1 Ir 0.875 0.888 0.750 1
Ir2 Ir 0.112 0.625 0.250 1
Ir3 Ir 0.375 0.362 0.750 1
Ir4 Ir 0.638 0.125 0.250 1
F1 F 0.250 0.750 0.500 1
F2 F 0.500 0.500 0.000 1
Cl1 Cl 0.000 0.000 0.000 1
Cl2 Cl 0.750 0.250 0.500 1
```

Results
- total magnetization (μB/atom) = 0.1031
- energy relative to the elements, uncorrected (meV/atom) = 879
- final energy (eV/atom) = -4.48
- energy above the most stable polymorph in this dataset (eV/f.u.) = 0.00
- symmetry = I-42d, No. 122

***

(2)
Here is SmDyTm2 after structural relaxation from Alexandria. Energies are from PBE.

Structure (CIF):
```
data_SmDyTm2
_chemical_formula_sum 'Sm1 Dy1 Tm2'
_cell_length_a 5.640
_cell_length_b 5.640
_cell_length_c 5.640
_cell_angle_alpha 60.00
_cell_angle_beta 60.00
_cell_angle_gamma 60.00
_space_group_name_H-M_alt 'P 1'
_space_group_IT_number 1
_space_group_name_Hall 'P 1'
loop_
_atom_site_label
_atom_site_type_symbol
_atom_site_fract_x
_atom_site_fract_y
_atom_site_fract_z
_atom_site_occupancy
Tm1 Tm 0.250 0.250 0.250 1
Tm2 Tm 0.750 0.750 0.750 1
Dy1 Dy 0.000 0.000 0.000 1
Sm1 Sm 0.500 0.500 0.500 1
```

Results
- total magnetization (μB/atom) = 0.0000
- final energy (eV/atom) = -4.45
- energy above the most stable polymorph in this dataset (eV/f.u.) = 0.43
- symmetry = Fm-3m, No. 225
- energy of formation from the pure elements (eV/atom) = 0.12

***

(3)
Here is CsSnCl4 after structural relaxation from Alexandria. Energies are from PBE.

Structure (CIF):
```
data_CsSnCl4
_chemical_formula_sum 'Cs2 Sn2 Cl8'
_cell_length_a 5.407
_cell_length_b 7.767
_cell_length_c 10.216
_cell_angle_alpha 90.00
_cell_angle_beta 105.34
_cell_angle_gamma 90.00
_space_group_name_H-M_alt 'P 1'
_space_group_IT_number 1
_space_group_name_Hall 'P 1'
loop_
_atom_site_label
_atom_site_type_symbol
_atom_site_fract_x
_atom_site_fract_y
_atom_site_fract_z
_atom_site_occupancy
Cl1 Cl 0.000 0.000 0.000 1
Cl2 Cl 0.184 0.980 0.368 1
Cl3 Cl 0.416 0.250 0.832 1
Cl4 Cl 0.184 0.520 0.368 1
Cl5 Cl 0.816 0.480 0.632 1
Cl6 Cl 0.000 0.500 0.000 1
Cl7 Cl 0.816 0.020 0.632 1
Cl8 Cl 0.584 0.750 0.168 1
Sn1 Sn 0.903 0.250 0.807 1
Sn2 Sn 0.097 0.750 0.193 1
Cs1 Cs 0.373 0.750 0.746 1
Cs2 Cs 0.627 0.250 0.254 1
```

Results
- total magnetization (μB/atom) = 0.0000
- energy relative to the elements, uncorrected (meV/atom) = -1323
- final energy (eV/atom) = -3.36
- symmetry = Cmcm, No. 63